AgAsP2Cl: optimized geometry, PBE.

Values from the calculation:
The value obtained for the polymorph energy (0 for the lowest one) is 0 meV per atom. The calculation puts the mass density at 4032 kg/m³. The calculation puts the uncorrected formation energy at 764 meV per atom.

The structure in CIF format:
```
data_AgAsP2Cl
_cell_length_a 4.7711
_cell_length_b 4.7711
_cell_length_c 5.0691
_cell_angle_alpha 90.00
_cell_angle_beta 90.00
_cell_angle_gamma 90.00
_symmetry_space_group_name_H-M 'P 4/m m m'
_symmetry_Int_Tables_number 123
_symmetry_space_group_name_Hall '-P 4 2'
loop_
_atom_site_label
_atom_site_fract_x
_atom_site_fract_y
_atom_site_fract_z
Ag1 0.0000 0.0000 0.0000
As1 0.5000 0.5000 0.5000
P1 0.0000 0.5000 0.5000
Cl1 0.5000 0.5000 0.0000
```